Entry 1:
## SrZrMo (PBEsol)

Data for SrZrMo after structural relaxation.

Unit cell a=5.024 b=5.024 c=3.111 alpha=90.00 beta=90.00 gamma=120.00
Fractional positions:
Sr1 0.000 0.000 0.000
Zr1 0.333 0.667 0.500
Mo1 0.667 0.333 0.500

Offset from the most stable computed form, eV per atom: 0.299
Magnetic moment, μB/f.u.: 0.00
ΔE_f, eV/atom: 0.837

Entry 2:
## SrZrMo2 (PBEsol)

Data for SrZrMo2 after structural relaxation.

Unit cell a=5.757 b=5.757 c=2.792 alpha=98.80 beta=98.80 gamma=117.90
Fractional positions:
Sr1 0.000 0.000 0.000
Zr1 0.500 0.500 0.000
Mo1 0.000 0.500 0.500
Mo2 0.500 0.000 0.500

Offset from the most stable computed form, eV per atom: 0.000
Magnetic moment, μB/f.u.: 0.00
ΔE_f, eV/atom: 0.924

Entry 3:
## SrZr2Mo (PBEsol)

Data for SrZr2Mo after structural relaxation.

Unit cell a=6.061 b=6.061 c=6.061 alpha=148.38 beta=123.66 gamma=66.05
Fractional positions:
Sr1 0.000 0.000 0.000
Zr1 0.295 0.795 0.500
Zr2 0.705 0.205 0.500
Mo1 0.500 0.500 0.000

Magnetic moment, μB/f.u.: 0.00
ΔE_f, eV/atom: 0.512

Entry 4:
## Sr2ZrMo (PBEsol)

Data for Sr2ZrMo after structural relaxation.

Unit cell a=3.058 b=5.446 c=6.038 alpha=90.00 beta=90.00 gamma=90.00
Fractional positions:
Sr1 0.000 0.000 0.242
Sr2 0.000 0.000 0.758
Zr1 0.500 0.500 0.500
Mo1 0.500 0.500 0.000

Offset from the most stable computed form, eV per atom: 0.592
Magnetic moment, μB/f.u.: 0.00
ΔE_f, eV/atom: 1.017

Entry 5:
## SrZrMo2 (PBEsol)

Data for SrZrMo2 after structural relaxation.

Unit cell a=4.012 b=4.012 c=4.926 alpha=90.00 beta=90.00 gamma=90.00
Fractional positions:
Sr1 0.000 0.000 0.000
Zr1 0.500 0.500 0.000
Mo1 0.000 0.500 0.500
Mo2 0.500 0.000 0.500

Offset from the most stable computed form, eV per atom: 0.184
Magnetic moment, μB/f.u.: 0.00
ΔE_f, eV/atom: 1.108

Entry 6:
## Sr2ZrMo (PBEsol)

Data for Sr2ZrMo after structural relaxation.

Unit cell a=3.025 b=3.025 c=11.266 alpha=90.00 beta=90.00 gamma=98.55
Fractional positions:
Sr1 0.000 0.000 0.225
Sr2 0.000 0.000 0.775
Zr1 0.500 0.500 0.500
Mo1 0.500 0.500 0.000

Offset from the most stable computed form, eV per atom: 0.606
Magnetic moment, μB/f.u.: 0.00
ΔE_f, eV/atom: 1.031

Entry 7:
## TaMo7 (PBEsol)

Data for TaMo7 after structural relaxation.

Unit cell a=3.141 b=3.141 c=12.602 alpha=90.00 beta=90.00 gamma=90.00
Fractional positions:
Ta1 0.000 0.000 0.000
Mo1 0.000 0.000 0.252
Mo2 0.000 0.000 0.500
Mo3 0.000 0.000 0.748
Mo4 0.500 0.500 0.130
Mo5 0.500 0.500 0.377
Mo6 0.500 0.500 0.623
Mo7 0.500 0.500 0.870

Offset from the most stable computed form, eV per atom: 0.001
Magnetic moment, μB/f.u.: 0.00
ΔE_f, eV/atom: -0.062

Entry 8:
## TaMo2 (PBEsol)

Data for TaMo2 after structural relaxation.

Unit cell a=7.033 b=6.843 c=2.769 alpha=82.38 beta=74.66 gamma=22.97
Fractional positions:
Ta1 0.000 0.000 0.000
Mo1 0.331 0.331 0.669
Mo2 0.669 0.669 0.331

Magnetic moment, μB/f.u.: 0.00
ΔE_f, eV/atom: -0.086